An optimized crystal structure of LaTb7Tm3, computed with PBE.

Computed properties:
relative energy among the computed polymorphs	0.72	eV per formula unit

Cell: 7.0750 7.0750 8.5913 Å, 90.00 90.00 120.00°
With the nearest neighbours (Å) after each atom.
Space group P3m1 (No. 156)
Unique sites:
La 0.0000 0.0000 0.0000 (multiplicity 1)  9 Tb 3.49-3.54, 3 Tm 3.58
Tb 0.0027 0.5013 0.9924 (multiplicity 3)  7 Tb 3.50-3.57, 2 Tm 3.51, 2 La 3.54
Tb 0.3309 0.1655 0.3310 (multiplicity 3)  2 Tm 3.48, 1 La 3.49, 8 Tb 3.51-3.56
Tb 0.3333 0.6667 0.3251 (multiplicity 1)  9 Tb 3.50-3.54, 3 Tm 3.51
Tm 0.1677 0.3355 0.6587 (multiplicity 3)  5 Tb 3.48-3.51, 4 Tm 3.51-3.56, 1 La 3.58